1.
Density functional theory data (GGA-PBE) for a geometry-optimized CsP2Pt4Pb structure.

The structure in CIF format:
```
data_CsP2Pt4Pb
_chemical_formula_sum 'Cs1 P2 Pt4 Pb1'
_cell_length_a 4.0201
_cell_length_b 4.0201
_cell_length_c 11.4924
_cell_angle_alpha 90.00
_cell_angle_beta 90.00
_cell_angle_gamma 90.00
_space_group_name_H-M_alt 'P 4/m m m'
_space_group_IT_number 123
_space_group_name_Hall '-P 4 2'
loop_
_atom_site_label
_atom_site_type_symbol
_atom_site_fract_x
_atom_site_fract_y
_atom_site_fract_z
Cs1 Cs 0.0000 0.0000 0.0000
P1 P 0.5000 0.5000 0.2032
Pt1 Pt 0.0000 0.5000 0.3070
Pb1 Pb 0.0000 0.0000 0.5000
```

## Properties
ΔH_f (0 K): -0.469 eV/atom

=====

2.
Density functional theory data (GGA-PBE) for a geometry-optimized Cs2RePPb structure.

The structure in CIF format:
```
data_Cs2RePPb
_chemical_formula_sum 'Cs2 Re1 P1 Pb1'
_cell_length_a 7.3890
_cell_length_b 7.3890
_cell_length_c 5.1812
_cell_angle_alpha 90.00
_cell_angle_beta 90.00
_cell_angle_gamma 90.00
_space_group_name_H-M_alt 'P 4/m m m'
_space_group_IT_number 123
_space_group_name_Hall '-P 4 2'
loop_
_atom_site_label
_atom_site_type_symbol
_atom_site_fract_x
_atom_site_fract_y
_atom_site_fract_z
Cs1 Cs 0.0000 0.5000 0.0000
Re1 Re 0.0000 0.0000 0.5000
P1 P 0.5000 0.5000 0.5000
Pb1 Pb 0.5000 0.5000 0.0000
```

## Properties
ΔH_f (0 K): 1.481 eV/atom
Distance to the lowest polymorph of the same formula: 0.805 eV/atom

=====

3.
Density functional theory data (GGA-PBE) for a geometry-optimized Cs2RePPb structure.

The structure in CIF format:
```
data_Cs2RePPb
_chemical_formula_sum 'Cs2 Re1 P1 Pb1'
_cell_length_a 6.8277
_cell_length_b 6.8277
_cell_length_c 4.4921
_cell_angle_alpha 90.00
_cell_angle_beta 90.00
_cell_angle_gamma 90.00
_space_group_name_H-M_alt 'P 4/m m m'
_space_group_IT_number 123
_space_group_name_Hall '-P 4 2'
loop_
_atom_site_label
_atom_site_type_symbol
_atom_site_fract_x
_atom_site_fract_y
_atom_site_fract_z
Cs1 Cs 0.0000 0.5000 0.0000
Re1 Re 0.0000 0.0000 0.5000
P1 P 0.0000 0.0000 0.0000
Pb1 Pb 0.5000 0.5000 0.5000
```

## Properties
ΔH_f (0 K): 0.676 eV/atom
Distance to the lowest polymorph of the same formula: 0.000 eV/atom

=====

4.
Density functional theory data (GGA-PBE) for a geometry-optimized CsPRhPb structure.

The structure in CIF format:
```
data_CsPRhPb
_chemical_formula_sum 'Cs2 P2 Rh2 Pb2'
_cell_length_a 4.2145
_cell_length_b 4.2145
_cell_length_c 13.9452
_cell_angle_alpha 90.00
_cell_angle_beta 90.00
_cell_angle_gamma 90.00
_space_group_name_H-M_alt 'P 4/n m m'
_space_group_IT_number 129
loop_
_space_group_symop_operation_xyz
'x,y,z'
'-x,-y,-z'
'-y+1/2,x,z'
'y+1/2,-x,-z'
'-x+1/2,-y+1/2,z'
'x+1/2,y+1/2,-z'
'y,-x+1/2,z'
'-y,x+1/2,-z'
'x+1/2,-y,-z'
'-x+1/2,y,z'
'-y,-x,-z'
'y,x,z'
'-x,y+1/2,-z'
'x,-y+1/2,z'
'y+1/2,x+1/2,-z'
'-y+1/2,-x+1/2,z'
loop_
_atom_site_label
_atom_site_type_symbol
_atom_site_fract_x
_atom_site_fract_y
_atom_site_fract_z
Cs1 Cs 0.2500 0.2500 0.2353
P1 P 0.2500 0.2500 0.9200
Rh1 Rh 0.2500 0.7500 0.0000
Pb1 Pb 0.2500 0.7500 0.5000
```

## Properties
ΔH_f (0 K): -0.390 eV/atom

=====

5.
Density functional theory data (GGA-PBE) for a geometry-optimized CsP2PbS structure.

The structure in CIF format:
```
data_CsP2PbS
_chemical_formula_sum 'Cs1 P2 Pb1 S1'
_cell_length_a 5.8673
_cell_length_b 5.8673
_cell_length_c 5.8865
_cell_angle_alpha 90.00
_cell_angle_beta 90.00
_cell_angle_gamma 90.00
_space_group_name_H-M_alt 'P 4/m m m'
_space_group_IT_number 123
_space_group_name_Hall '-P 4 2'
loop_
_atom_site_label
_atom_site_type_symbol
_atom_site_fract_x
_atom_site_fract_y
_atom_site_fract_z
Cs1 Cs 0.0000 0.0000 0.0000
P1 P 0.0000 0.5000 0.0000
Pb1 Pb 0.5000 0.5000 0.5000
S1 S 0.0000 0.0000 0.5000
```

## Properties
Distance to the lowest polymorph of the same formula: 1.040 eV/atom

=====

6.
Density functional theory data (GGA-PBE) for a geometry-optimized CsPPbS4 structure.

The structure in CIF format:
```
data_CsPPbS4
_chemical_formula_sum 'Cs4 P4 Pb4 S16'
_cell_length_a 18.1332
_cell_length_b 6.8691
_cell_length_c 6.7017
_cell_angle_alpha 90.00
_cell_angle_beta 90.00
_cell_angle_gamma 90.00
_space_group_name_H-M_alt 'P n m a'
_space_group_IT_number 62
_space_group_name_Hall '-P 2ac 2n'
loop_
_atom_site_label
_atom_site_type_symbol
_atom_site_fract_x
_atom_site_fract_y
_atom_site_fract_z
Cs1 Cs 0.2125 0.2500 0.0089
P1 P 0.0883 0.7500 0.2225
Pb1 Pb 0.0197 0.7500 0.7202
S1 S 0.0214 0.2500 0.8560
S2 S 0.1094 0.5100 0.3980
S3 S 0.1551 0.7500 0.9756
```

## Properties
Raw total energy: -4.488 eV per atom

=====

7.
Density functional theory data (GGA-PBE) for a geometry-optimized CsPPbS4 structure.

The structure in CIF format:
```
data_CsPPbS4
_chemical_formula_sum 'Cs2 P2 Pb2 S8'
_cell_length_a 6.7104
_cell_length_b 6.8759
_cell_length_c 9.5437
_cell_angle_alpha 90.00
_cell_angle_beta 108.46
_cell_angle_gamma 90.00
_space_group_name_H-M_alt 'P 1 21/m 1'
_space_group_IT_number 11
_space_group_name_Hall '-P 2yb'
loop_
_atom_site_label
_atom_site_type_symbol
_atom_site_fract_x
_atom_site_fract_y
_atom_site_fract_z
Cs1 Cs 0.2161 0.2500 0.4283
P1 P 0.3019 0.7500 0.1765
Pb1 Pb 0.2613 0.2500 0.9605
S1 S 0.1141 0.7500 0.3095
S2 S 0.1244 0.7500 0.9568
S3 S 0.4964 0.5106 0.2188
```

## Properties
Raw total energy: -4.488 eV per atom

=====

8.
Density functional theory data (GGA-PBE) for a geometry-optimized CsP2PbS structure.

The structure in CIF format:
```
data_CsP2PbS
_chemical_formula_sum 'Cs1 P2 Pb1 S1'
_cell_length_a 5.4497
_cell_length_b 5.4497
_cell_length_c 5.5235
_cell_angle_alpha 90.00
_cell_angle_beta 90.00
_cell_angle_gamma 90.00
_space_group_name_H-M_alt 'P 4/m m m'
_space_group_IT_number 123
_space_group_name_Hall '-P 4 2'
loop_
_atom_site_label
_atom_site_type_symbol
_atom_site_fract_x
_atom_site_fract_y
_atom_site_fract_z
Cs1 Cs 0.0000 0.0000 0.0000
P1 P 0.0000 0.5000 0.5000
Pb1 Pb 0.5000 0.5000 0.5000
S1 S 0.5000 0.5000 0.0000
```

## Properties
Distance to the lowest polymorph of the same formula: 0.000 eV/atom

=====

9.
Density functional theory data (GGA-PBE) for a geometry-optimized CsPPd3 structure.

The structure in CIF format:
```
data_CsPPd3
_chemical_formula_sum 'Cs1 P1 Pd3'
_cell_length_a 4.7802
_cell_length_b 4.7802
_cell_length_c 4.7802
_cell_angle_alpha 90.00
_cell_angle_beta 90.00
_cell_angle_gamma 90.00
_space_group_name_H-M_alt 'P m -3 m'
_space_group_IT_number 221
_space_group_name_Hall '-P 4 2 3'
loop_
_atom_site_label
_atom_site_type_symbol
_atom_site_fract_x
_atom_site_fract_y
_atom_site_fract_z
Cs1 Cs 0.0000 0.0000 0.0000
P1 P 0.5000 0.5000 0.5000
Pd1 Pd 0.0000 0.5000 0.5000
```

## Properties
ΔH_f (0 K): -0.090 eV/atom
Distance to the lowest polymorph of the same formula: 0.213 eV/atom

=====

10.
Density functional theory data (GGA-PBE) for a geometry-optimized CsP2Pd3 structure.

The structure in CIF format:
```
data_CsP2Pd3
_chemical_formula_sum 'Cs2 P4 Pd6'
_cell_length_a 6.8042
_cell_length_b 5.5743
_cell_length_c 6.8072
_cell_angle_alpha 90.00
_cell_angle_beta 112.12
_cell_angle_gamma 90.00
_space_group_name_H-M_alt 'P 1 21/m 1'
_space_group_IT_number 11
_space_group_name_Hall '-P 2yb'
loop_
_atom_site_label
_atom_site_type_symbol
_atom_site_fract_x
_atom_site_fract_y
_atom_site_fract_z
Cs1 Cs 0.1282 0.2500 0.1287
P1 P 0.3209 0.0001 0.6791
Pd1 Pd 0.0061 0.2500 0.5523
Pd2 Pd 0.4432 0.7500 0.4431
Pd3 Pd 0.4479 0.7500 0.9936
```

## Properties
ΔH_f (0 K): -0.389 eV/atom
Distance to the lowest polymorph of the same formula: 0.056 eV/atom

=====

11.
Density functional theory data (GGA-PBE) for a geometry-optimized CsPPd3 structure.

The structure in CIF format:
```
data_CsPPd3
_chemical_formula_sum 'Cs1 P1 Pd3'
_cell_length_a 5.2402
_cell_length_b 5.2402
_cell_length_c 5.2402
_cell_angle_alpha 90.00
_cell_angle_beta 90.00
_cell_angle_gamma 90.00
_space_group_name_H-M_alt 'P m -3 m'
_space_group_IT_number 221
_space_group_name_Hall '-P 4 2 3'
loop_
_atom_site_label
_atom_site_type_symbol
_atom_site_fract_x
_atom_site_fract_y
_atom_site_fract_z
Cs1 Cs 0.0000 0.0000 0.0000
P1 P 0.5000 0.5000 0.5000
Pd1 Pd 0.0000 0.0000 0.5000
```

## Properties
ΔH_f (0 K): 1.722 eV/atom
Distance to the lowest polymorph of the same formula: 2.025 eV/atom

=====

12.
Density functional theory data (GGA-PBE) for a geometry-optimized Cs2PPd structure.

The structure in CIF format:
```
data_Cs2PPd
_chemical_formula_sum 'Cs8 P4 Pd4'
_cell_length_a 8.3534
_cell_length_b 8.3534
_cell_length_c 8.3534
_cell_angle_alpha 90.00
_cell_angle_beta 90.00
_cell_angle_gamma 90.00
_space_group_name_H-M_alt 'F m -3 m'
_space_group_IT_number 225
_space_group_name_Hall '-F 4 2 3'
loop_
_atom_site_label
_atom_site_type_symbol
_atom_site_fract_x
_atom_site_fract_y
_atom_site_fract_z
Cs1 Cs 0.2500 0.2500 0.2500
P1 P 0.0000 0.0000 0.0000
Pd1 Pd 0.0000 0.0000 0.5000
```

## Properties
ΔH_f (0 K): 0.495 eV/atom